1.
DFT (GGA-PBE) results for crystalline TaIn2Pb at its relaxed geometry.

Cell lengths 3.211, 5.384, 5.424 Å; angles 90.00, 90.00, 90.00 degrees
Element x y z (fractional)
Ta 0.000 0.000 0.000
In 0.000 0.500 0.500
In 0.500 0.000 0.500
Pb 0.500 0.500 0.000

## Properties
* DOS at the Fermi energy: 3.66 states/eV/cell
* ΔH_f (0 K): 0.49 eV per atom
* space group: Pmmm
* energy: -4.774 eV/atom

---

2.
DFT (GGA-PBE) results for crystalline LaHPd at its relaxed geometry.

Cell lengths 4.146, 4.146, 3.657 Å; angles 90.00, 90.00, 120.00 degrees
Element x y z (fractional)
La 0.000 0.000 0.000
H 0.333 0.667 0.503
Pd 0.667 0.333 0.500

## Properties
* DOS at the Fermi energy: 1.22 states/eV/cell
* space group: P3m1
* energy: -4.932 eV/atom
* polymorph energy (0 for the lowest one): 284 meV/atom

---

3.
DFT (GGA-PBE) results for crystalline SrCr2Os at its relaxed geometry.

Cell lengths 4.803, 4.803, 5.949 Å; angles 104.35, 104.35, 36.83 degrees
Element x y z (fractional)
Sr 0.000 0.000 0.000
Cr 0.202 0.202 0.635
Cr 0.497 0.497 0.489
Os 0.779 0.779 0.361

## Properties
* DOS at the Fermi energy: 4.88 states/eV/cell
* ΔH_f (0 K): 0.72 eV per atom
* space group: Cm
* energy: -7.322 eV/atom
* polymorph energy (0 for the lowest one): 127 meV/atom

---

4.
DFT (GGA-PBE) results for crystalline HoPaSbN2 at its relaxed geometry.

Cell lengths 7.160, 7.160, 7.160 Å; angles 148.16, 148.16, 45.65 degrees
Element x y z (fractional)
Ho 0.000 0.000 0.000
Pa 0.338 0.338 0.000
Sb 0.667 0.667 0.000
N 0.411 0.911 0.500
N 0.911 0.411 0.500

## Properties
* DOS at the Fermi energy: 1.99 states/eV/cell
* space group: I4mm
* E_form (uncorrected): -1.46 eV/atom
* energy: -8.429 eV/atom

---

5.
DFT (GGA-PBE) results for crystalline Tb2RhI at its relaxed geometry.

Cell lengths 8.294, 8.294, 8.294 Å; angles 28.49, 28.49, 28.49 degrees
Element x y z (fractional)
Tb 0.227 0.227 0.227
Tb 0.773 0.773 0.773
Rh 0.500 0.500 0.500
I 0.000 0.000 0.000

## Properties
* DOS at the Fermi energy: 0.75 states/eV/cell
* space group: R-3m
* E_form (uncorrected): -0.95 eV/atom
* energy: -5.494 eV/atom
* polymorph energy (0 for the lowest one): 0 meV/atom

---

6.
DFT (GGA-PBE) results for crystalline CaAlCr3 at its relaxed geometry.

Cell lengths 4.921, 4.921, 4.921 Å; angles 90.00, 90.00, 90.00 degrees
Element x y z (fractional)
Ca 0.000 0.000 0.000
Al 0.500 0.500 0.500
Cr 0.000 0.500 0.500
Cr 0.500 0.000 0.500
Cr 0.500 0.500 0.000

## Properties
* DOS at the Fermi energy: 6.31 states/eV/cell
* ΔH_f (0 K): 1.00 eV per atom
* space group: Pm-3m
* energy: -5.924 eV/atom
* polymorph energy (0 for the lowest one): 0 meV/atom

---

7.
DFT (GGA-PBE) results for crystalline PmPuGaSn at its relaxed geometry.

Cell lengths 5.286, 5.286, 5.286 Å; angles 60.00, 60.00, 60.00 degrees
Element x y z (fractional)
Pm 0.000 0.000 0.000
Pu 0.500 0.500 0.500
Ga 0.250 0.250 0.250
Sn 0.750 0.750 0.750

## Properties
* DOS at the Fermi energy: 10.54 states/eV/cell
* ΔH_f (0 K): -0.40 eV per atom
* space group: F-43m
* energy: -6.925 eV/atom

---

8.
DFT (GGA-PBE) results for crystalline Pr3GeRh at its relaxed geometry.

Cell lengths 8.090, 4.184, 8.505 Å; angles 90.00, 101.79, 90.00 degrees
Element x y z (fractional)
Pr 0.000 0.000 0.000
Pr 0.011 0.500 0.372
Pr 0.284 0.500 0.782
Pr 0.399 0.000 0.380
Pr 0.604 0.500 0.107
Pr 0.739 0.500 0.638
Ge 0.025 0.000 0.641
Ge 0.579 0.000 0.818
Rh 0.242 0.500 0.144
Rh 0.756 0.000 0.353

## Properties
* DOS at the Fermi energy: 9.16 states/eV/cell
* ΔH_f (0 K): -0.59 eV per atom
* space group: Pm
* energy: -5.854 eV/atom

---

> The lowest DOS at the Fermi energy belongs to which entry?

Tb2RhI

---

> The lowest energy belongs to which entry?

HoPaSbN2

---

> The highest DOS at the Fermi energy belongs to which entry?

PmPuGaSn